A relaxed structure of NdBeCuSi2. Source: the Alexandria database, functional GGA-PBE.

Geometry as CIF:
```
data_NdBeCuSi2
_space_group_name_H-M_alt 'I -4 m 2'
_space_group_IT_number 119
_space_group_name_Hall 'I -4 -2'
_cell_length_a 4.030
_cell_length_b 4.030
_cell_length_c 9.865
_cell_angle_alpha 90.00
_cell_angle_beta 90.00
_cell_angle_gamma 90.00
loop_
_atom_site_label
_atom_site_type_symbol
_atom_site_fract_x
_atom_site_fract_y
_atom_site_fract_z
Nd1 Nd 0.000 0.000 0.000
Be1 Be 0.000 0.500 0.750
Cu1 Cu 0.000 0.500 0.250
Si1 Si 0.000 0.000 0.377
```

## Properties
As for the formation energy (no corrections): -0.478 eV/atom. As for the total magnetization: 0.0 μB per cell. The density of states at the Fermi level is 1.53 states/eV/f.u.



A relaxed structure of TbNdBeCu. Source: the Alexandria database, functional GGA-PBE.

Geometry as CIF:
```
data_TbNdBeCu
_space_group_name_H-M_alt 'F -4 3 m'
_space_group_IT_number 216
_space_group_name_Hall 'F -4 2 3'
_cell_length_a 7.035
_cell_length_b 7.035
_cell_length_c 7.035
_cell_angle_alpha 90.00
_cell_angle_beta 90.00
_cell_angle_gamma 90.00
loop_
_atom_site_label
_atom_site_type_symbol
_atom_site_fract_x
_atom_site_fract_y
_atom_site_fract_z
Tb1 Tb 0.000 0.000 0.000
Nd1 Nd 0.000 0.000 0.500
Be1 Be 0.250 0.250 0.750
Cu1 Cu 0.250 0.250 0.250
```

## Properties
As for the total magnetization: 0.0 μB per cell. The density of states at the Fermi level is 2.62 states/eV/f.u. The formation energy comes out at 0.00 eV/atom.



A relaxed structure of NdTmBeCu. Source: the Alexandria database, functional GGA-PBE.

Geometry as CIF:
```
data_NdTmBeCu
_space_group_name_H-M_alt 'F -4 3 m'
_space_group_IT_number 216
_space_group_name_Hall 'F -4 2 3'
_cell_length_a 6.970
_cell_length_b 6.970
_cell_length_c 6.970
_cell_angle_alpha 90.00
_cell_angle_beta 90.00
_cell_angle_gamma 90.00
loop_
_atom_site_label
_atom_site_type_symbol
_atom_site_fract_x
_atom_site_fract_y
_atom_site_fract_z
Nd1 Nd 0.000 0.000 0.000
Tm1 Tm 0.000 0.000 0.500
Be1 Be 0.250 0.250 0.750
Cu1 Cu 0.250 0.250 0.250
```

## Properties
As for the total magnetization: 0.0 μB per cell. The density of states at the Fermi level is 1.65 states/eV/f.u. The formation energy comes out at -0.02 eV/atom.



A relaxed structure of Nd2BeZn3Cu12. Source: the Alexandria database, functional GGA-PBE.

Geometry as CIF:
```
data_Nd2BeZn3Cu12
_space_group_name_H-M_alt 'R -3 m'
_space_group_IT_number 166
_space_group_name_Hall '-R 3 2"'
_cell_length_a 6.3024
_cell_length_b 6.3024
_cell_length_c 25.3331
_cell_angle_alpha 90.00
_cell_angle_beta 90.00
_cell_angle_gamma 120.00
loop_
_atom_site_label
_atom_site_type_symbol
_atom_site_fract_x
_atom_site_fract_y
_atom_site_fract_z
Nd1 Nd 0.0000 0.0000 0.1551
Be1 Be 0.0000 0.0000 0.5000
Zn1 Zn 0.0000 0.5000 0.0000
Cu1 Cu 0.0639 0.5320 0.0988
Cu2 Cu 0.0749 0.5375 0.6159
```

## Properties
As for the total magnetization: 0.0 μB per cell. The density of states at the Fermi level is 5.36 states/eV/f.u. The formation energy comes out at 0.12 eV/atom.



A relaxed structure of NdBeZnCu6. Source: the Alexandria database, functional GGA-PBE.

Geometry as CIF:
```
data_NdBeZnCu6
_space_group_name_H-M_alt 'I m m a'
_space_group_IT_number 74
_space_group_name_Hall '-I 2b 2'
_cell_length_a 5.147
_cell_length_b 7.756
_cell_length_c 13.614
_cell_angle_alpha 90.00
_cell_angle_beta 90.00
_cell_angle_gamma 90.00
loop_
_atom_site_label
_atom_site_type_symbol
_atom_site_fract_x
_atom_site_fract_y
_atom_site_fract_z
Nd1 Nd 0.000 0.250 0.001
Be1 Be 0.250 0.250 0.250
Zn1 Zn 0.000 0.000 0.500
Cu1 Cu 0.000 0.250 0.385
Cu2 Cu 0.000 0.250 0.753
Cu3 Cu 0.246 0.011 0.840
```

## Properties
As for the total magnetization: 0.0 μB per cell. The density of states at the Fermi level is 5.15 states/eV/f.u. The formation energy comes out at 0.00 eV/atom.



A relaxed structure of BeCuNi. Source: the Alexandria database, functional GGA-PBE.

Geometry as CIF:
```
data_BeCuNi
_space_group_name_H-M_alt 'I 4 m m'
_space_group_IT_number 107
_space_group_name_Hall 'I 4 -2'
_cell_length_a 2.589
_cell_length_b 2.589
_cell_length_c 8.926
_cell_angle_alpha 90.00
_cell_angle_beta 90.00
_cell_angle_gamma 90.00
loop_
_atom_site_label
_atom_site_type_symbol
_atom_site_fract_x
_atom_site_fract_y
_atom_site_fract_z
Be1 Be 0.000 0.000 0.000
Cu1 Cu 0.000 0.000 0.337
Ni1 Ni 0.000 0.000 0.640
```

## Properties
As for the total magnetization: 0.0 μB per cell. The density of states at the Fermi level is 0.34 states/eV/f.u. Its relative energy among the computed polymorphs is 0.000 eV/atom. The formation energy comes out at -0.22 eV/atom.



A relaxed structure of BeCu2Ni2. Source: the Alexandria database, functional GGA-PBE.

Geometry as CIF:
```
data_BeCu2Ni2
_space_group_name_H-M_alt 'P 4/m b m'
_space_group_IT_number 127
_space_group_name_Hall '-P 4 2ab'
_cell_length_a 5.446
_cell_length_b 5.446
_cell_length_c 3.833
_cell_angle_alpha 90.00
_cell_angle_beta 90.00
_cell_angle_gamma 90.00
loop_
_atom_site_label
_atom_site_type_symbol
_atom_site_fract_x
_atom_site_fract_y
_atom_site_fract_z
Be1 Be 0.000 0.000 0.000
Cu1 Cu 0.165 0.335 0.500
Ni1 Ni 0.146 0.646 0.000
```

## Properties
As for the total magnetization: 0.0 μB per cell. The density of states at the Fermi level is 3.72 states/eV/f.u. Its relative energy among the computed polymorphs is 0.254 eV/atom. The formation energy comes out at 0.07 eV/atom.



A relaxed structure of BeCu2Ni. Source: the Alexandria database, functional GGA-PBE.

Geometry as CIF:
```
data_BeCu2Ni
_space_group_name_H-M_alt 'C m m m'
_space_group_IT_number 65
_space_group_name_Hall '-C 2 2'
_cell_length_a 4.936
_cell_length_b 6.852
_cell_length_c 2.540
_cell_angle_alpha 90.00
_cell_angle_beta 90.00
_cell_angle_gamma 90.00
loop_
_atom_site_label
_atom_site_type_symbol
_atom_site_fract_x
_atom_site_fract_y
_atom_site_fract_z
Be1 Be 0.000 0.000 0.000
Cu1 Cu 0.250 0.250 0.500
Ni1 Ni 0.000 0.500 0.000
```

## Properties
As for the total magnetization: 0.0 μB per cell. The density of states at the Fermi level is 1.81 states/eV/f.u. The formation energy comes out at -0.02 eV/atom.